DFT (PBE) results for crystalline CaZn3 at its relaxed geometry.

Cell lengths 4.333, 4.333, 4.333 Å; angles 90.00, 90.00, 90.00 degrees
Space group Pm-3m (No. 221)
Symmetry-distinct sites (fractional):
1 Ca 0.000 0.000 0.000
2 Zn 0.000 0.500 0.500

Computed properties:
* crystal system: cubic
* energy of formation from the pure elements: -103 meV/atom

DFT (PBE) results for crystalline LiH3Pt at its relaxed geometry.

Cell lengths 9.192, 9.192, 9.192 Å; angles 90.00, 90.00, 90.00 degrees
Space group Fd-3m (No. 227, origin choice 2)
Symmetry-distinct sites (fractional):
1 Li 0.000 0.000 0.000
2 H 0.078 0.375 0.875
3 Pt 0.000 0.000 0.500

Computed properties:
* crystal system: cubic
* electronic total energy: -298.5 eV for the cell shown